No. 1
Below is an optimized crystal structure of Zn2Cu2Pt, with properties calculated at the GGA-PBE level.

Unit cell a=6.979 b=6.979 c=2.793 alpha=90.00 beta=90.00 gamma=90.00
Space group P4/mbm (No. 127)
Unique sites:
Zn1 0.173 0.327 0.000 [4 per cell]
Cu1 0.125 0.625 0.500 [4 per cell]
Pt1 0.000 0.000 0.500 [2 per cell]

Results
Final energy in eV for the cell shown: -35.07
Energy of formation from the pure elements in kJ per mole of atoms: -14.5
E above lowest polymorph in eV/atom: 0.0067
Magnetic moment in μB/f.u.: 0.000
Volume in Å³ per atom: 13.6

=====

No. 2
Below is an optimized crystal structure of ZnCu2Pt, with properties calculated at the GGA-PBE level.

Unit cell a=2.730 b=4.285 c=4.703 alpha=90.00 beta=97.32 gamma=90.00
Space group P2/m (No. 10)
Unique sites:
Zn1 0.000 0.000 0.000 [1 per cell]
Cu1 0.205 0.500 0.757 [2 per cell]
Pt1 0.500 0.000 0.500 [1 per cell]

Results
Final energy in eV for the cell shown: -16.23
Energy of formation from the pure elements in kJ per mole of atoms: -17.3
Magnetic moment in μB/f.u.: 0.000
Volume in Å³ per atom: 13.6

=====

No. 3
Below is an optimized crystal structure of ZnCu3Pt, with properties calculated at the GGA-PBE level.

Unit cell a=4.338 b=4.338 c=4.338 alpha=90.00 beta=90.00 gamma=90.00
Space group Pm-3m (No. 221)
Unique sites:
Zn1 0.000 0.000 0.000 [1 per cell]
Cu1 0.000 0.000 0.500 [3 per cell]
Pt1 0.500 0.500 0.500 [1 per cell]

Results
Final energy in eV for the cell shown: -15.72
Energy of formation from the pure elements in kJ per mole of atoms: 75.0
E above lowest polymorph in eV/atom: 0.9644
Magnetic moment in μB/f.u.: 0.000
Volume in Å³ per atom: 16.3

=====

No. 4
Below is an optimized crystal structure of ZnCu5Pt4, with properties calculated at the GGA-PBE level.

Unit cell a=13.560 b=4.165 c=5.953 alpha=90.00 beta=115.59 gamma=90.00
Space group C2/m (No. 12)
Unique sites:
Zn1 0.000 0.000 0.000 [2 per cell]
Cu1 0.000 0.000 0.500 [2 per cell]
Cu2 0.174 0.500 0.717 [4 per cell]
Cu3 0.178 0.500 0.132 [4 per cell]
Pt1 0.011 0.500 0.262 [4 per cell]
Pt2 0.173 0.000 0.422 [4 per cell]

Results
Final energy in eV for the cell shown: -92.86
Energy of formation from the pure elements in kJ per mole of atoms: -4.9
Magnetic moment in μB/f.u.: 0.000
Volume in Å³ per atom: 15.2

=====

No. 5
Below is an optimized crystal structure of Zn4CuPt2, with properties calculated at the GGA-PBE level.

Unit cell a=4.744 b=7.103 c=6.576 alpha=90.00 beta=91.84 gamma=90.00
Space group P2_1/c (No. 14)
Unique sites:
Zn1 0.069 0.195 0.498 [4 per cell]
Zn2 0.374 0.658 0.340 [4 per cell]
Cu1 0.500 0.000 0.500 [2 per cell]
Pt1 0.156 0.515 0.686 [4 per cell]

Results
Final energy in eV for the cell shown: -46.85
Energy of formation from the pure elements in kJ per mole of atoms: -29.7
E above lowest polymorph in eV/atom: 0.0000
Magnetic moment in μB/f.u.: 0.000
Volume in Å³ per atom: 15.8

=====

No. 6
Below is an optimized crystal structure of Zn2Cu2Pt, with properties calculated at the GGA-PBE level.

Unit cell a=13.135 b=4.748 c=4.399 alpha=90.00 beta=90.00 gamma=90.00
Space group Cmcm (No. 63)
Unique sites:
Zn1 0.198 0.168 0.250 [8 per cell]
Cu1 0.101 0.338 0.750 [8 per cell]
Pt1 0.000 0.173 0.250 [4 per cell]

Results
Final energy in eV for the cell shown: -70.27
Energy of formation from the pure elements in kJ per mole of atoms: -15.2
E above lowest polymorph in eV/atom: 0.0000
Magnetic moment in μB/f.u.: 0.000
Volume in Å³ per atom: 13.7